1.
This record from Alexandria via LeMat-Bulk describes an optimized crystal structure of AcHg3Au3. The functional is PBE-GGA.

Unit cell a=8.1102 b=8.1102 c=8.1102 alpha=56.55 beta=56.55 gamma=56.55
Fractional coordinates of all 14 atoms:
Ac  0.1571  0.1571  0.1571
Ac  0.8429  0.8429  0.8429
Hg  0.0569  0.5865  0.2356
Hg  0.2356  0.0569  0.5865
Hg  0.4135  0.7644  0.9431
Hg  0.5865  0.2356  0.0569
Hg  0.7644  0.9431  0.4135
Hg  0.9431  0.4135  0.7644
Au  0.2126  0.6714  0.4416
Au  0.3286  0.5584  0.7874
Au  0.4416  0.2126  0.6714
Au  0.5584  0.7874  0.3286
Au  0.6714  0.4416  0.2126
Au  0.7874  0.3286  0.5584

Total magnetic moment   0.000 μB per formula unit
Crystal system   trigonal
Energy of formation   -0.298 eV per atom
Offset from the most stable computed form   12 meV per atom
VASP energy   -16.93 eV per formula unit

2.
This record from Alexandria via LeMat-Bulk describes an optimized crystal structure of Hf2PPb2. The functional is PBE-GGA.

Unit cell a=6.8446 b=6.8446 c=4.9544 alpha=90.00 beta=90.00 gamma=90.00
Fractional coordinates of all 10 atoms:
Hf  0.1611  0.3389  0.0000
Hf  0.3389  0.8389  0.0000
Hf  0.6611  0.1611  0.0000
Hf  0.8389  0.6611  0.0000
P  0.0000  0.0000  0.0000
P  0.5000  0.5000  0.0000
Pb  0.1623  0.6623  0.5000
Pb  0.3377  0.1623  0.5000
Pb  0.6623  0.8377  0.5000
Pb  0.8377  0.3377  0.5000

Total magnetic moment   0.000 μB per formula unit
Crystal system   tetragonal
Energy of formation   -0.240 eV per atom
VASP energy   -33.94 eV per formula unit

3.
This record from Alexandria via LeMat-Bulk describes an optimized crystal structure of La3TbNi8. The functional is PBE-GGA.

Unit cell a=8.9788 b=8.9788 c=8.9788 alpha=33.50 beta=33.50 gamma=33.50
Fractional coordinates of all 12 atoms:
La  0.0000  0.0000  0.0000
La  0.1254  0.1254  0.1254
La  0.6250  0.6250  0.6250
Tb  0.5005  0.5005  0.5005
Ni  0.0617  0.0617  0.5603
Ni  0.0617  0.5603  0.0617
Ni  0.0672  0.5627  0.5627
Ni  0.3127  0.3127  0.3127
Ni  0.5603  0.0617  0.0617
Ni  0.5627  0.0672  0.5627
Ni  0.5627  0.5627  0.0672
Ni  0.8133  0.8133  0.8133

Total magnetic moment   0.000 μB per formula unit
Crystal system   trigonal
Energy of formation   -0.344 eV per atom
VASP energy   -69.80 eV per formula unit

Question: The highest VASP energy belongs to which entry?
Answer: AcHg3Au3

Copy entry 1 word for word.
This record from Alexandria via LeMat-Bulk describes an optimized crystal structure of AcHg3Au3. The functional is PBE-GGA.

Unit cell a=8.1102 b=8.1102 c=8.1102 alpha=56.55 beta=56.55 gamma=56.55
Fractional coordinates of all 14 atoms:
Ac  0.1571  0.1571  0.1571
Ac  0.8429  0.8429  0.8429
Hg  0.0569  0.5865  0.2356
Hg  0.2356  0.0569  0.5865
Hg  0.4135  0.7644  0.9431
Hg  0.5865  0.2356  0.0569
Hg  0.7644  0.9431  0.4135
Hg  0.9431  0.4135  0.7644
Au  0.2126  0.6714  0.4416
Au  0.3286  0.5584  0.7874
Au  0.4416  0.2126  0.6714
Au  0.5584  0.7874  0.3286
Au  0.6714  0.4416  0.2126
Au  0.7874  0.3286  0.5584

Total magnetic moment   0.000 μB per formula unit
Crystal system   trigonal
Energy of formation   -0.298 eV per atom
Offset from the most stable computed form   12 meV per atom
VASP energy   -16.93 eV per formula unit

Question: What is the energy of formation in the second record?
Answer: -0.240 eV per atom